This record from Alexandria via LeMat-Bulk describes a relaxed Cr2GaBiO6 crystal. The functional is PBE+U.

Volume (A^3/atom): 11.507
Calculated total energy (eV per atom): -6.83
Density of states at the Fermi level (states/eV/atom): 0.000
Total moment (μB/cell): 6.00

Cell and atoms, written as CIF:
```
data_Cr2GaBiO6
_cell_length_a 5.594
_cell_length_b 5.594
_cell_length_c 5.594
_cell_angle_alpha 56.96
_cell_angle_beta 56.96
_cell_angle_gamma 56.96
_symmetry_space_group_name_H-M 'P 1'
_symmetry_Int_Tables_number 1
loop_
_symmetry_equiv_pos_as_xyz
'x,y,z'
loop_
_atom_site_label
_atom_site_fract_x
_atom_site_fract_y
_atom_site_fract_z
Cr1 0.000 0.000 0.000
Cr2 0.494 0.494 0.494
Ga1 0.794 0.794 0.794
Bi1 0.274 0.274 0.274
O1 0.098 0.392 0.728
O2 0.206 0.831 0.658
O3 0.392 0.728 0.098
O4 0.658 0.206 0.831
O5 0.728 0.098 0.392
O6 0.831 0.658 0.206
```